(1)
DFT (PBE) results for a relaxed Ba2Zn4Ga3Cu crystal.

As for the crystal system: tetragonal. For the density of states at the Fermi level, the calculation gives 5.2 states/eV/cell. For the formation energy, the calculation gives -25.2 kJ per mole of atoms. For the theoretical density, the calculation gives 6.0 Mg/m³.

It has space group P-4m2 (No. 115), with a = 4.611 Å, b = 4.611 Å, c = 10.475 Å, α = 90.00°, β = 90.00° and γ = 90.00°. The inequivalent atoms are Ba at (0.000, 0.500, 0.247), Zn at (0.000, 0.000, 0.500), Zn at (0.000, 0.500, 0.885), Zn at (0.500, 0.500, 0.500), Ga at (0.000, 0.000, 0.000), Ga at (0.000, 0.500, 0.629) and Cu at (0.500, 0.500, 0.000).

---

(2)
DFT (PBE) results for a relaxed Sr2LiHIr crystal.

As for the crystal system: tetragonal. The energy above the most stable polymorph in this dataset is 0 meV/atom. For the density of states at the Fermi level, the calculation gives 2.1 states/eV/cell. For the theoretical density, the calculation gives 5.7 Mg/m³.

It has space group P4/mmm (No. 123), with a = 5.349 Å, b = 5.349 Å, c = 3.805 Å, α = 90.00°, β = 90.00° and γ = 90.00°. The inequivalent atoms are Sr at (0.000, 0.500, 0.000), Li at (0.000, 0.000, 0.500), H at (0.500, 0.500, 0.000) and Ir at (0.500, 0.500, 0.500).